(1)
An optimized crystal structure of Pr2Sb2S7. Source: Alexandria via LeMat-Bulk, functional GGA-PBE.

Results
As for the volume: 24.0 A^3/atom. The total DFT energy (no corrections) is -0.37121 Ry per atom. As for the space group: Imm2, No. 44. The density of states at the Fermi level is 3.81 states/eV per cell. The calculated density is 4.71 Mg/m³. Its formation energy from raw total energies is -805 meV/atom.

```
11
Lattice="-1.975 7.303 4.579 1.975 -7.303 4.579 1.975 7.303 -4.579" Properties=species:S:1:pos:R:3 pbc="T T T"
Pr 0.000 0.000 0.000
Pr 0.000 7.303 0.328
Sb 1.975 -3.761 3.458
Sb 1.975 3.761 3.458
S 1.975 0.000 2.004
S 0.000 2.589 1.157
S 1.975 5.270 -0.117
S 0.000 2.034 4.461
S 0.000 5.717 2.929
S 0.000 8.890 2.929
S 0.000 12.018 1.157
```

***

(2)
An optimized crystal structure of PrSbS3. Source: Alexandria via LeMat-Bulk, functional GGA-PBE.

Results
As for the volume: 32.3 A^3/atom. The total DFT energy (no corrections) is -0.39082 Ry per atom. As for the space group: P2_1/m, No. 11. The distance to the lowest polymorph of the same formula is 52 meV/atom. The calculated density is 3.69 Mg/m³. Its formation energy from raw total energies is -1061 meV/atom.

```
10
Lattice="7.224 0.000 0.000 0.000 4.103 0.000 -0.198 0.000 10.911" Properties=species:S:1:pos:R:3 pbc="T T T"
Pr 1.492 1.026 4.609
Pr 5.534 3.077 6.302
Sb 2.679 1.026 9.074
Sb 4.347 3.077 1.837
S 0.046 1.026 7.050
S 2.811 1.026 1.381
S 3.532 3.077 4.153
S 3.494 1.026 6.758
S 4.215 3.077 9.530
S 6.980 3.077 3.861
```

***

(3)
An optimized crystal structure of Pr2SbS4. Source: Alexandria via LeMat-Bulk, functional GGA-PBE.

Results
As for the volume: 28.8 A^3/atom. The total DFT energy (no corrections) is -0.40522 Ry per atom. As for the space group: P2_1/m, No. 11. The density of states at the Fermi level is 5.47 states/eV per cell. The calculated density is 4.37 Mg/m³. Its formation energy from raw total energies is -1200 meV/atom.

```
14
Lattice="7.558 0.000 0.000 0.000 7.025 0.000 -1.916 0.000 7.605" Properties=species:S:1:pos:R:3 pbc="T T T"
Pr 1.229 1.756 0.314
Pr 0.396 1.756 4.124
Pr 5.247 5.269 3.480
Pr 4.414 5.269 7.291
Sb 0.528 5.269 6.143
Sb 5.115 1.756 1.461
S -0.433 3.539 1.950
S -0.433 6.998 1.950
S 1.662 1.756 6.546
S 2.750 1.756 2.639
S 2.893 5.269 4.966
S 3.981 5.269 1.059
S 6.076 0.027 5.655
S 6.076 3.486 5.655
```

***

(4)
An optimized crystal structure of PrSbS2. Source: Alexandria via LeMat-Bulk, functional GGA-PBE.

Results
As for the volume: 29.6 A^3/atom. The total DFT energy (no corrections) is -0.34613 Ry per atom. As for the space group: R-3m, No. 166. The density of states at the Fermi level is 2.06 states/eV per cell. The calculated density is 4.58 Mg/m³. Its formation energy from raw total energies is -420 meV/atom.

```
4
Lattice="1.987 1.147 8.663 -1.987 1.147 8.663 0.000 -2.294 8.663" Properties=species:S:1:pos:R:3 pbc="T T T"
Pr 0.000 0.000 0.000
Sb 0.000 0.000 12.995
S 0.000 0.000 2.813
S 0.000 0.000 23.177
```

***

(5)
An optimized crystal structure of Pr6SbS12. Source: Alexandria via LeMat-Bulk, functional GGA-PBE.

Results
As for the volume: 26.6 A^3/atom. The total DFT energy (no corrections) is -0.43480 Ry per atom. As for the space group: R-3, No. 148. The density of states at the Fermi level is 13.15 states/eV per cell. The calculated density is 4.44 Mg/m³. Its formation energy from raw total energies is -1583 meV/atom.

```
19
Lattice="6.117 3.531 3.905 -6.117 3.531 3.905 0.000 -7.063 3.905" Properties=species:S:1:pos:R:3 pbc="T T T"
Pr -4.134 -1.192 6.158
Pr -1.035 -4.176 5.557
Pr -3.100 2.984 5.557
Pr 3.100 -2.984 6.158
Pr 1.035 4.176 6.158
Pr 4.134 1.192 5.557
Sb 0.000 0.000 5.857
S -5.224 1.196 5.077
S -3.648 -3.927 6.637
S -1.621 -1.480 4.526
S 1.577 -5.122 5.077
S -0.472 2.144 4.526
S -2.092 0.663 7.188
S 2.092 -0.663 4.526
S 0.472 -2.144 7.188
S -1.577 5.122 6.637
S 1.621 1.480 7.188
S 3.647 3.927 5.077
S 5.224 -1.196 6.637
```

***

(6)
An optimized crystal structure of Pr2SbS5. Source: Alexandria via LeMat-Bulk, functional GGA-PBE.

Results
As for the volume: 31.1 A^3/atom. The total DFT energy (no corrections) is -0.40545 Ry per atom. As for the space group: Cmcm, No. 63. The distance to the lowest polymorph of the same formula is 127 meV/atom. The density of states at the Fermi level is 4.82 states/eV per cell. The calculated density is 3.76 Mg/m³. Its formation energy from raw total energies is -1227 meV/atom.

```
16
Lattice="2.678 -7.015 0.000 2.678 7.015 0.000 0.000 0.000 13.265" Properties=species:S:1:pos:R:3 pbc="T T T"
Pr 2.678 4.881 7.549
Pr 2.678 4.881 12.349
Pr 2.678 -4.881 0.916
Pr 2.678 -4.881 5.716
Sb 2.678 4.691 3.316
Sb 2.678 -4.691 9.949
S 2.678 6.392 1.473
S 2.678 6.392 5.160
S 2.678 3.089 9.949
S 2.678 2.918 1.211
S 2.678 2.918 5.421
S 2.678 -2.918 7.844
S 2.678 -2.918 12.054
S 2.678 -3.089 3.316
S 2.678 -6.392 8.105
S 2.678 -6.392 11.792
```

***

(7)
An optimized crystal structure of PrSbS3. Source: Alexandria via LeMat-Bulk, functional GGA-PBE.

Results
As for the volume: 29.6 A^3/atom. The total DFT energy (no corrections) is -0.39461 Ry per atom. As for the space group: P2_1/c, No. 14. The distance to the lowest polymorph of the same formula is 0 meV/atom. The density of states at the Fermi level is 0.00 states/eV per cell. The calculated density is 4.02 Mg/m³. Its formation energy from raw total energies is -1112 meV/atom.

```
20
Lattice="7.819 0.000 0.000 0.000 7.166 0.000 -0.314 0.000 10.575" Properties=species:S:1:pos:R:3 pbc="T T T"
Pr 0.132 1.610 1.441
Pr -0.025 1.973 6.729
Pr 7.530 5.193 3.846
Pr 7.374 5.556 9.134
Sb 2.691 4.952 6.490
Sb 2.848 5.797 1.203
Sb 4.657 1.369 9.372
Sb 4.814 2.214 4.085
S 0.761 4.426 1.244
S 0.604 6.324 6.531
S 1.568 0.190 10.077
S 1.725 3.393 4.790
S 1.829 3.614 8.349
S 1.986 7.136 3.061
S 5.519 0.030 7.513
S 5.676 3.553 2.226
S 5.780 3.773 5.785
S 5.937 6.977 0.498
S 6.901 0.842 4.044
S 6.744 2.741 9.331
```

***

(8)
An optimized crystal structure of Pr2SbS5. Source: Alexandria via LeMat-Bulk, functional GGA-PBE.

Results
As for the volume: 22.8 A^3/atom. The total DFT energy (no corrections) is -0.41476 Ry per atom. As for the space group: Pbam, No. 55. The distance to the lowest polymorph of the same formula is 0 meV/atom. The density of states at the Fermi level is 2.92 states/eV per cell. The calculated density is 5.14 Mg/m³. Its formation energy from raw total energies is -1353 meV/atom.

```
16
Lattice="7.805 0.000 0.000 0.000 11.483 0.000 0.000 0.000 4.066" Properties=species:S:1:pos:R:3 pbc="T T T"
Pr 0.417 1.970 0.000
Pr 3.486 7.711 0.000
Pr 4.319 3.772 0.000
Pr 7.388 9.513 0.000
Sb 0.000 5.741 2.033
Sb 3.902 0.000 2.033
S 0.000 0.000 2.033
S 1.271 8.066 2.033
S 1.428 4.818 0.000
S 2.474 10.559 0.000
S 2.631 2.325 2.033
S 3.902 5.741 2.033
S 5.174 9.158 2.033
S 5.331 0.923 0.000
S 6.376 6.665 0.000
S 6.533 3.416 2.033
```